MgIr3Se: relaxed, PBE.

Geometry as POSCAR:
```
MgIr3Se
1.0
-0.488 4.114 -1.994
-4.497 -0.792 -0.533
-0.821 1.894 4.108
Mg Ir Se
1 3 1
direct
0.500 0.500 0.500 Mg
0.000 0.500 0.000 Ir
0.000 0.000 0.500 Ir
0.500 0.000 0.000 Ir
0.000 0.000 0.000 Se
```

Results
Its uncorrected formation energy is 0.840 eV per atom. The density of states at the Fermi level is 5.90 states/eV/cell. The value obtained for the offset from the most stable computed form is 0 meV per atom. The volume comes out at 97 Å³/cell.

***

MgIr2Se: relaxed, PBE.

Geometry as POSCAR:
```
MgIr2Se
1.0
-2.240 -1.799 -0.630
2.370 -3.691 2.115
-0.262 -1.510 5.243
Ir Mg Se
2 1 1
direct
0.000 0.000 0.000 Ir
0.500 0.500 0.000 Ir
0.500 0.500 0.500 Mg
0.000 0.000 0.500 Se
```

Results
Its uncorrected formation energy is -0.028 eV per atom. The density of states at the Fermi level is 2.06 states/eV/cell. The value obtained for the offset from the most stable computed form is 0 meV per atom. The volume comes out at 62 Å³/cell.

***

MgIr2Se: relaxed, PBE.

Geometry as POSCAR:
```
MgIr2Se
1.0
5.010 -0.007 0.000
2.012 4.589 0.000
-3.511 -2.291 2.743
Ir Mg Se
2 1 1
direct
0.000 0.000 0.000 Ir
0.250 0.750 0.500 Ir
0.500 0.500 0.000 Mg
0.750 0.250 0.500 Se
```

Results
Its uncorrected formation energy is 0.150 eV per atom. The density of states at the Fermi level is 3.04 states/eV/cell. The value obtained for the offset from the most stable computed form is 179 meV per atom. The volume comes out at 63 Å³/cell.

***

MgIr2Se: relaxed, PBE.

Geometry as POSCAR:
```
MgIr2Se
1.0
-3.238 2.411 -0.725
0.430 -0.285 -2.864
-2.944 -4.398 -1.476
Ir Mg Se
2 1 1
direct
0.000 0.811 0.002 Ir
0.500 0.183 0.256 Ir
0.000 0.561 0.504 Mg
0.500 0.945 0.738 Se
```

Results
Its uncorrected formation energy is 0.012 eV per atom. The density of states at the Fermi level is 3.36 states/eV/cell. The value obtained for the offset from the most stable computed form is 40 meV per atom. The volume comes out at 63 Å³/cell.

***

MgIr2Se: relaxed, PBE.

Geometry as POSCAR:
```
MgIr2Se
1.0
-8.431 -0.333 1.350
-7.668 -3.178 2.030
-7.420 -1.006 4.118
Ir Mg Se
2 1 1
direct
0.002 0.002 0.002 Ir
0.252 0.252 0.252 Ir
0.504 0.504 0.504 Mg
0.743 0.743 0.743 Se
```

Results
Its uncorrected formation energy is 0.146 eV per atom. The density of states at the Fermi level is 4.22 states/eV/cell. The value obtained for the offset from the most stable computed form is 175 meV per atom. The volume comes out at 66 Å³/cell.

***

Mg2IrSe: relaxed, PBE.

Geometry as POSCAR:
```
Mg2IrSe
1.0
-4.037 1.302 -1.421
0.336 -1.929 -2.721
-1.909 -3.481 2.232
Mg Ir Se
2 1 1
direct
0.000 0.125 0.908 Mg
0.500 0.125 0.333 Mg
0.500 0.625 0.823 Ir
0.000 0.625 0.436 Se
```

Results
Its uncorrected formation energy is -0.380 eV per atom. The density of states at the Fermi level is 1.76 states/eV/cell. The volume comes out at 68 Å³/cell.

***

MgIrSe: relaxed, PBE.

Geometry as POSCAR:
```
MgIrSe
1.0
4.296 0.000 0.000
-2.148 3.721 0.000
0.000 0.000 3.232
Ir Mg Se
1 1 1
direct
0.000 0.000 0.833 Ir
0.667 0.333 0.333 Mg
0.333 0.667 0.833 Se
```

Results
Its uncorrected formation energy is -0.207 eV per atom. The density of states at the Fermi level is 1.19 states/eV/cell. The value obtained for the offset from the most stable computed form is 0 meV per atom. The volume comes out at 52 Å³/cell.

***

Mg2Ir4Se: relaxed, PBE.

Geometry as POSCAR:
```
Mg2Ir4Se
1.0
4.540 0.000 0.000
0.000 4.540 0.000
2.270 2.270 6.691
Mg Ir Se
2 4 1
direct
0.630 0.630 0.739 Mg
0.370 0.370 0.261 Mg
0.826 0.826 0.348 Ir
0.174 0.174 0.652 Ir
0.000 0.500 0.000 Ir
0.500 0.000 0.000 Ir
0.000 0.000 0.000 Se
```

Results
Its uncorrected formation energy is 0.874 eV per atom. The density of states at the Fermi level is 7.32 states/eV/cell. The volume comes out at 138 Å³/cell.

***

What did the second record say?
MgIr2Se: relaxed, PBE.

Geometry as POSCAR:
```
MgIr2Se
1.0
-2.240 -1.799 -0.630
2.370 -3.691 2.115
-0.262 -1.510 5.243
Ir Mg Se
2 1 1
direct
0.000 0.000 0.000 Ir
0.500 0.500 0.000 Ir
0.500 0.500 0.500 Mg
0.000 0.000 0.500 Se
```

Results
Its uncorrected formation energy is -0.028 eV per atom. The density of states at the Fermi level is 2.06 states/eV/cell. The value obtained for the offset from the most stable computed form is 0 meV per atom. The volume comes out at 62 Å³/cell.

***

Question: Which value of volume does entry 1 give?
Answer: 97 Å³/cell

***

Question: Look up the volume of the fifth one.
Answer: 66 Å³/cell